{
  "formula": "Ce5Pu2Ge5",
  "functional": "PBE-GGA",
  "state": "relaxed",
  "total_energy_ev_per_atom": -7.30,
  "e_above_lowest_polymorph_ev_per_atom": 0.0000,
  "delta_e_f_ev_per_atom": -0.5124,
  "lattice": [[8.038, -2.057, 0.000], [8.038, 2.057, 0.000], [-6.786, 0.000, 8.767]],
  "species": ["Ce", "Ce", "Ce", "Ce", "Ce", "Pu", "Pu", "Ge", "Ge", "Ge", "Ge", "Ge"],
  "fractional_positions": [[0.000, 0.000, 0.000], [0.113, 0.113, 0.404], [0.236, 0.236, 0.142], [0.764, 0.764, 0.858], [0.887, 0.887, 0.596], [0.114, 0.114, 0.726], [0.886, 0.886, 0.274], [0.323, 0.323, 0.726], [0.422, 0.422, 0.118], [0.500, 0.500, 0.500], [0.578, 0.578, 0.882], [0.677, 0.677, 0.274]]
}